Entry 1:
A plane-wave DFT calculation with SCAN was carried out for Cs2YCl2 at its PBEsol-relaxed geometry.

Computed properties:
Formation energy (no corrections): -0.8403 eV per atom
Symmetry: I4/mmm (139)
Total energy: -24.72 eV/atom

```
Cs2YCl2
1.0
6.0764 0.0000 0.0000
0.0000 6.0764 0.0000
0.0000 0.0000 12.8742
Cs Y Cl
4 2 4
Direct
0.0000 0.0000 0.1571
0.0000 0.0000 0.8429
0.5000 0.5000 0.3429
0.5000 0.5000 0.6571
0.0000 0.0000 0.5000
0.5000 0.5000 0.0000
0.0000 0.5000 0.2500
0.0000 0.5000 0.7500
0.5000 0.0000 0.2500
0.5000 0.0000 0.7500
```

=====

Entry 2:
A plane-wave DFT calculation with SCAN was carried out for Cs2YCl5 at its PBEsol-relaxed geometry.

Computed properties:
Formation energy (no corrections): -2.4731 eV per atom
Symmetry: Pnma (62)
Total energy: -20.39 eV/atom

```
Cs2YCl5
1.0
9.4308 0.0000 0.0000
0.0000 7.3703 0.0000
0.0000 0.0000 15.0795
Cs Y Cl
8 4 20
Direct
0.0279 0.2500 0.2093
0.1672 0.7500 0.4159
0.3328 0.2500 0.9159
0.4721 0.7500 0.7093
0.5279 0.2500 0.2907
0.6672 0.7500 0.0841
0.8328 0.2500 0.5841
0.9721 0.7500 0.7907
0.1821 0.7500 0.0658
0.3179 0.2500 0.5658
0.6821 0.7500 0.4342
0.8179 0.2500 0.9342
0.0000 0.0000 0.0000
0.0000 0.5000 0.0000
0.0178 0.7500 0.2023
0.1605 0.5088 0.6195
0.1605 0.9912 0.6195
0.2092 0.2500 0.4064
0.2908 0.7500 0.9064
0.3395 0.0088 0.1195
0.3395 0.4912 0.1195
0.4822 0.2500 0.7023
0.5000 0.0000 0.5000
0.5000 0.5000 0.5000
0.5178 0.7500 0.2977
0.6605 0.5088 0.8805
0.6605 0.9912 0.8805
0.7092 0.2500 0.0936
0.7908 0.7500 0.5936
0.8395 0.0088 0.3805
0.8395 0.4912 0.3805
0.9822 0.2500 0.7977
```

=====

Entry 3:
A plane-wave DFT calculation with SCAN was carried out for CsZnCl2 at its PBEsol-relaxed geometry.

Computed properties:
Formation energy (no corrections): -1.0426 eV per atom
Symmetry: R-3m (166)
Total energy: -17.86 eV/atom

```
CsZnCl2
1.0
4.9033 0.0000 0.0000
-2.4516 4.2464 0.0000
0.0000 0.0000 25.2854
Cs Zn Cl
3 3 6
Direct
0.0000 0.0000 0.0000
0.3333 0.6667 0.6667
0.6667 0.3333 0.3333
0.0000 0.0000 0.5000
0.3333 0.6667 0.1667
0.6667 0.3333 0.8333
0.0000 0.0000 0.4078
0.0000 0.0000 0.5922
0.3333 0.6667 0.0745
0.3333 0.6667 0.2589
0.6667 0.3333 0.7411
0.6667 0.3333 0.9255
```